The following is a DFT calculation (PBE) of a relaxed structure of Ca7Cr.

Lattice parameters (Å, degrees): 10.6645 10.6645 10.6645 90.00 90.00 90.00
Closest atoms and distances in Å follow each position.
Space group Fm-3m (No. 225)
Unique sites:
1 Ca 0.0000 0.0000 0.0000 (multiplicity 4)  12 Ca 3.77
2 Ca 0.0000 0.2500 0.2500 (multiplicity 24)  2 Cr 3.77, 10 Ca 3.77
3 Cr 0.0000 0.0000 0.5000 (multiplicity 4)  12 Ca 3.77

total magnetization	15.89	μB per cell
raw total energy	-87.0	eV per cell
DOS(E_F)	31.1	states/eV per cell
energy of formation	0.236	eV per atom